[1]
An optimized crystal structure of Fe2ReBH, computed with PBE.

Calculated values
Symmetry: No. 123
Raw total energy, eV/atom: -6.172
DOS(E_F), states/eV/cell: 5.11

a b c (Å): 4.497 3.180 4.497
angles (deg): 90.00 90.00 90.00
Positions (direct):
Re  0.000  0.000  0.000
B  0.500  0.500  0.500
Fe  0.000  0.000  0.500
Fe  0.500  0.000  0.000
H  0.000  0.500  0.000

[2]
An optimized crystal structure of Zn2InAgAu5, computed with PBE.

Calculated values
Symmetry: No. 140
Raw total energy, eV/atom: -2.692
DOS(E_F), states/eV/cell: 4.96

a b c (Å): 6.605 6.605 9.103
angles (deg): 111.27 111.27 90.00
Positions (direct):
Zn  0.127  0.373  0.000
Zn  0.627  0.127  0.000
Zn  0.373  0.873  0.000
Zn  0.873  0.627  0.000
In  0.250  0.250  0.500
In  0.750  0.750  0.500
Ag  0.250  0.750  0.500
Ag  0.750  0.250  0.500
Au  0.907  0.407  0.278
Au  0.630  0.130  0.722
Au  0.093  0.593  0.722
Au  0.130  0.093  0.722
Au  0.593  0.630  0.722
Au  0.870  0.907  0.278
Au  0.407  0.370  0.278
Au  0.370  0.870  0.278
Au  0.500  0.500  0.000
Au  0.000  0.000  0.000

[3]
An optimized crystal structure of AcEu2Sn, computed with PBE.

Calculated values
Symmetry: No. 123
Energy above the lowest structure with this stoichiometry, meV/atom: 104
Raw total energy, eV/atom: -7.447
DOS(E_F), states/eV/cell: 5.03

a b c (Å): 4.213 4.213 8.077
angles (deg): 90.00 90.00 90.00
Positions (direct):
Eu  0.000  0.000  0.798
Eu  0.000  0.000  0.202
Ac  0.500  0.500  0.500
Sn  0.500  0.500  0.000